Computed, not measured: a relaxed structure of MgGa3Ag6 at the GGA-PBE level of DFT.

```
MgGa3Ag6
1.0
6.0653 3.5018 2.8475
-6.0653 3.5018 2.8475
0.0000 -7.0036 2.8475
Mg Ga Ag
2 6 12
Cartesian
0.0000 0.0000 0.0000 Mg
0.0000 0.0000 4.2712 Mg
-0.8395 -4.3755 3.5643 Ga
-4.2090 -1.4608 4.9781 Ga
-3.3696 2.9147 3.5643 Ga
3.3696 -2.9147 4.9781 Ga
4.2090 1.4608 3.5643 Ga
0.8394 4.3755 4.9781 Ga
-2.1159 0.5609 2.0162 Ag
-1.8727 -1.9423 3.6372 Ag
0.5722 -2.1129 2.0162 Ag
-2.6184 0.6507 4.9052 Ag
1.5437 1.5520 2.0162 Ag
-0.7457 2.5929 3.6372 Ag
0.7457 -2.5929 4.9052 Ag
-1.5437 -1.5520 6.5262 Ag
2.6184 -0.6507 3.6372 Ag
-0.5722 2.1129 6.5262 Ag
1.8727 1.9423 4.9052 Ag
2.1159 -0.5609 6.5262 Ag
```

Properties
ρ ... 8.06 g cm⁻³
Volume ... 18.14 A^3/atom
Energy of formation ... -35 meV per atom